Record 1
{"formula": "BaGaSe3", "functional": "PBE-GGA", "state": "relaxed", "lattice_angstrom": [[6.310, 0.000, 0.000], [-2.904, 6.407, 0.000], [-0.418, -0.775, 7.508]], "species": ["Ba", "Ba", "Ga", "Ga", "Se", "Se", "Se", "Se", "Se", "Se"], "fractional_positions": [[0.000, 0.000, 0.000], [0.268, 0.663, 0.493], [0.574, 0.326, 0.359], [0.697, 0.354, 0.868], [0.074, 0.522, 0.051], [0.175, 0.104, 0.432], [0.489, 0.990, 0.854], [0.551, 0.524, 0.107], [0.728, 0.068, 0.358], [0.743, 0.584, 0.627]], "vol_a3_per_atom": 30.36, "relative_energy_mev_per_atom": 0, "e_form_raw_mev_per_atom": -1029}

Record 2
{"formula": "Ba2GaSe", "functional": "PBE-GGA", "state": "relaxed", "lattice_angstrom": [[2.360, -13.807, 0.000], [2.360, 13.807, 0.000], [0.000, 0.000, 4.643]], "species": ["Ba", "Ba", "Ba", "Ba", "Ga", "Ga", "Se", "Se"], "fractional_positions": [[0.070, 0.930, 0.750], [0.311, 0.689, 0.750], [0.689, 0.311, 0.250], [0.930, 0.070, 0.250], [0.473, 0.527, 0.750], [0.527, 0.473, 0.250], [0.191, 0.809, 0.750], [0.809, 0.191, 0.250]], "vol_a3_per_atom": 37.82, "relative_energy_mev_per_atom": 0, "e_form_raw_mev_per_atom": -1177}

Record 3
{"formula": "BaGa3Se", "functional": "PBE-GGA", "state": "relaxed", "lattice_angstrom": [[6.046, 0.000, 0.000], [0.000, 6.046, 0.000], [0.000, 0.000, 6.046]], "species": ["Ba", "Ga", "Ga", "Ga", "Se"], "fractional_positions": [[0.000, 0.000, 0.000], [0.000, 0.000, 0.500], [0.000, 0.500, 0.000], [0.500, 0.000, 0.000], [0.500, 0.500, 0.500]], "vol_a3_per_atom": 44.19, "relative_energy_mev_per_atom": 923, "e_form_raw_mev_per_atom": 926}

Record 4
{"formula": "BaGaSe3", "functional": "PBE-GGA", "state": "relaxed", "lattice_angstrom": [[6.205, 0.000, 0.000], [0.000, 6.205, 0.000], [0.000, 0.000, 6.205]], "species": ["Ba", "Ga", "Se", "Se", "Se"], "fractional_positions": [[0.000, 0.000, 0.000], [0.500, 0.500, 0.500], [0.000, 0.000, 0.500], [0.000, 0.500, 0.000], [0.500, 0.000, 0.000]], "vol_a3_per_atom": 47.79, "relative_energy_mev_per_atom": 1137, "e_form_raw_mev_per_atom": 108}

Record 5
{"formula": "BaGa3Se", "functional": "PBE-GGA", "state": "relaxed", "lattice_angstrom": [[5.360, 0.000, 0.000], [0.000, 5.360, 0.000], [0.000, 0.000, 5.360]], "species": ["Ba", "Ga", "Ga", "Ga", "Se"], "fractional_positions": [[0.000, 0.000, 0.000], [0.000, 0.500, 0.500], [0.500, 0.000, 0.500], [0.500, 0.500, 0.000], [0.500, 0.500, 0.500]], "vol_a3_per_atom": 30.79, "relative_energy_mev_per_atom": 0, "e_form_raw_mev_per_atom": 3}

Record 6
{"formula": "Ba5GaSe8", "functional": "PBE-GGA", "state": "relaxed", "lattice_angstrom": [[-4.660, 4.660, 5.503], [4.660, -4.660, 5.503], [4.660, 4.660, -5.503]], "species": ["Ba", "Ba", "Ba", "Ba", "Ba", "Ga", "Se", "Se", "Se", "Se", "Se", "Se", "Se", "Se"], "fractional_positions": [[0.000, 0.000, 0.000], [0.250, 0.645, 0.128], [0.355, 0.483, 0.604], [0.517, 0.121, 0.872], [0.879, 0.750, 0.396], [0.750, 0.250, 0.500], [0.061, 0.238, 0.682], [0.195, 0.780, 0.798], [0.220, 0.019, 0.415], [0.556, 0.379, 0.318], [0.603, 0.805, 0.585], [0.621, 0.939, 0.178], [0.762, 0.444, 0.822], [0.981, 0.397, 0.202]], "vol_a3_per_atom": 34.14, "e_form_raw_mev_per_atom": -1332}